Below is an optimized crystal structure of Te2Mo2WSe2S2, with properties calculated at the PBE-GGA level.

Raw formation energy, eV per atom: -0.541
Density of states at the Fermi level, states/eV/cell: 0.51
Relative energy among the computed polymorphs, eV per atom: 0.000
Magnetization, μB per atom: 0.00
Electronic total energy, Ry/atom: -0.49811

a b c (Å): 3.345 3.345 23.084
angles (deg): 90.00 90.00 120.00
Element x y z (fractional)
Te (0.000, 0.000, 0.586)
Te (0.000, 0.000, 0.750)
Mo (0.667, 0.333, 0.031)
Mo (0.667, 0.333, 0.668)
W (0.000, 0.000, 0.342)
Se (0.000, 0.000, 0.959)
Se (0.000, 0.000, 0.103)
S (0.667, 0.333, 0.408)
S (0.667, 0.333, 0.276)

Below is an optimized crystal structure of Mg5InPb2, with properties calculated at the PBE-GGA level.

Formation energy from the elements, meV/atom: -53
Density of states at the Fermi level, states/eV/cell: 2.40
Magnetization, μB per atom: 0.00
Electronic total energy, Ry/atom: -0.17047

a b c (Å): 4.775 4.775 9.243
angles (deg): 104.97 104.97 90.00
Element x y z (fractional)
Mg (0.500, 0.500, 0.000)
Mg (0.881, 0.381, 0.763)
Mg (0.381, 0.881, 0.763)
Mg (0.119, 0.619, 0.237)
Mg (0.619, 0.119, 0.237)
In (0.000, 0.000, 0.000)
Pb (0.746, 0.746, 0.492)
Pb (0.254, 0.254, 0.508)

Below is an optimized crystal structure of Hf2ThTl, with properties calculated at the PBE-GGA level.

Formation energy from the elements, meV/atom: 84
Density of states at the Fermi level, states/eV/cell: 4.62
Relative energy among the computed polymorphs, eV per atom: 0.000
Magnetization, μB per atom: 0.00
Electronic total energy, Ry/atom: -0.53943

a b c (Å): 4.399 4.737 4.737
angles (deg): 90.00 90.00 90.00
Element x y z (fractional)
Tl (0.500, 0.500, 0.500)
Hf (0.000, 0.000, 0.500)
Hf (0.000, 0.500, 0.000)
Th (0.500, 0.000, 0.000)